# 1
Density functional theory data (GGA-PBE) for a geometry-optimized TbErAl structure.

- magnetic moment (μB per formula unit) = 0.0
- electronic total energy (eV per atom) = -4.35
- Fermi-level density of states (states/eV per cell) = 10.79
- formation energy (eV per atom) = -0.034
- energy relative to the lowest polymorph listed for this composition (meV per atom) = 220

The structure in CIF format:
```
data_TbErAl
_chemical_formula_sum 'Tb3 Er3 Al3'
_symmetry_space_group_name_H-M 'R 3 m'
_symmetry_Int_Tables_number 160
_symmetry_space_group_name_Hall 'R 3 -2"'
_cell_length_a 3.4484
_cell_length_b 3.4484
_cell_length_c 23.6759
_cell_angle_alpha 90.00
_cell_angle_beta 90.00
_cell_angle_gamma 120.00
loop_
_atom_site_label
_atom_site_fract_x
_atom_site_fract_y
_atom_site_fract_z
Tb1 0.0000 0.0000 0.0000
Er1 0.0000 0.0000 0.2080
Al1 0.0000 0.0000 0.7726
```

***

# 2
Density functional theory data (GGA-PBE) for a geometry-optimized FeNi2Pd structure.

- magnetic moment (μB per formula unit) = 4.2
- electronic total energy (eV per atom) = -6.28
- Fermi-level density of states (states/eV per cell) = 11.81
- formation energy (eV per atom) = 0.026

The structure in CIF format:
```
data_FeNi2Pd
_chemical_formula_sum 'Fe3 Ni6 Pd3'
_symmetry_space_group_name_H-M 'R 3 m'
_symmetry_Int_Tables_number 160
_symmetry_space_group_name_Hall 'R 3 -2"'
_cell_length_a 2.6183
_cell_length_b 2.6183
_cell_length_c 25.1680
_cell_angle_alpha 90.00
_cell_angle_beta 90.00
_cell_angle_gamma 120.00
loop_
_atom_site_label
_atom_site_fract_x
_atom_site_fract_y
_atom_site_fract_z
Fe1 0.0000 0.0000 0.0000
Ni1 0.0000 0.0000 0.2550
Ni2 0.0000 0.0000 0.4117
Pd1 0.0000 0.0000 0.8334
```

***

# 3
Density functional theory data (GGA-PBE) for a geometry-optimized Sm8Sb2Au structure.

- magnetic moment (μB per formula unit) = 0.0
- electronic total energy (eV per atom) = -4.98
- energy relative to the elements, uncorrected (eV/atom) = -0.50
- Fermi-level density of states (states/eV per cell) = 24.68

The structure in CIF format:
```
data_Sm8Sb2Au
_chemical_formula_sum 'Sm16 Sb4 Au2'
_symmetry_space_group_name_H-M 'C 1 2/m 1'
_symmetry_Int_Tables_number 12
_cell_length_a 19.2472
_cell_length_b 4.8812
_cell_length_c 7.2978
_cell_angle_alpha 90.00
_cell_angle_beta 99.40
_cell_angle_gamma 90.00
loop_
_symmetry_equiv_pos_as_xyz
'x,y,z'
'-x,-y,-z'
'-x,y,-z'
'x,-y,z'
'x+1/2,y+1/2,z'
'-x+1/2,-y+1/2,-z'
'-x+1/2,y+1/2,-z'
'x+1/2,-y+1/2,z'
loop_
_atom_site_label
_atom_site_fract_x
_atom_site_fract_y
_atom_site_fract_z
Sm1 0.0108 0.0000 0.2693
Sm2 0.0949 0.5000 0.9984
Sm3 0.1562 0.5000 0.5260
Sm4 0.2155 0.0000 0.8471
Sb1 0.1815 0.0000 0.2680
Au1 0.0000 0.5000 0.5000
```